Cs2CoOsO6: relaxed, GGA+U.

- D(E_F) (states/eV/atom) = 0.629
- DFT total energy (eV for the cell shown) = -59.68
- magnetic moment (μB/atom) = 0.104

Cell lengths 6.5071, 6.5071, 4.9265 Å; angles 90.00, 90.00, 120.00 degrees
Sites, in units of the cell vectors:
Cs1 0.3333 0.6667 0.2758
Cs2 0.6667 0.3333 0.7242
Co1 0.0000 0.0000 0.5000
Os1 0.0000 0.0000 0.0000
O1 0.1316 0.2633 0.7518
O2 0.1316 0.8684 0.7518
O3 0.2633 0.1316 0.2482
O4 0.7367 0.8684 0.7518
O5 0.8684 0.1316 0.2482
O6 0.8684 0.7367 0.2482